(one)
LiGa3Tc: relaxed, PBE-GGA.

Cell and atoms, written as extended XYZ:
```
20
Lattice="-1.1555 0.3054 5.0211 0.5373 -8.0152 0.6112 7.6980 3.4069 1.5643" Properties=species:S:1:pos:R:3 pbc="T T T"
Ga 5.0702 0.1267 1.6353
Ga 2.0096 -4.4296 5.5612
Tc 0.6011 -2.9567 3.7989
Ga 1.1195 -5.4865 2.7679
Ga 2.2020 1.3287 3.9047
Ga 5.8057 -3.3844 4.7005
Tc 4.5016 -5.2034 5.8301
Li 7.2979 2.0380 1.7941
Tc 6.4787 -1.3461 3.3977
Li 3.8361 -0.7550 3.8202
Ga 6.1017 -0.9178 5.9396
Ga 0.9781 -3.3850 1.2570
Ga 1.2741 -0.9184 2.4961
Ga 1.3306 -0.9858 5.1660
Ga 4.8778 -5.6316 3.2919
Li -0.2181 -6.3408 5.4024
Li 3.2437 -3.5478 3.3764
Ga 5.7493 -3.3170 2.0306
Tc 2.5782 0.9006 1.3665
Ga 5.9603 1.1836 4.4287
```


(two)
LiGa3Tc: relaxed, PBE-GGA.

Cell and atoms, written as extended XYZ:
```
5
Lattice="4.8215 0.0000 0.0000 0.0000 4.8215 0.0000 0.0000 0.0000 4.8215" Properties=species:S:1:pos:R:3 pbc="T T T"
Tc 0.0000 0.0000 0.0000
Ga 2.4108 0.0000 0.0000
Li 2.4108 2.4108 2.4108
Ga 0.0000 2.4108 0.0000
Ga 0.0000 0.0000 2.4108
```


Quick one: least stable of them? (two)


(one)
Li2Ga4Tc: relaxed, PBE-GGA.

Cell and atoms, written as extended XYZ:
```
7
Lattice="-4.9356 1.7355 0.5214 0.5792 -3.9575 -3.4126 1.9937 -2.2552 4.3108" Properties=species:S:1:pos:R:3 pbc="T T T"
Ga -2.4678 0.8677 0.2607
Ga -1.1814 -2.2386 0.7098
Li -1.4709 -0.2599 2.4161
Ga 0.9968 -1.1276 2.1554
Ga 0.2896 -1.9788 -1.7063
Li -2.1782 -1.1110 -1.4456
Tc 0.0000 0.0000 0.0000
```


(two)
Li2Ga4Tc: relaxed, PBE-GGA.

Cell and atoms, written as extended XYZ:
```
7
Lattice="4.8014 0.0000 0.0000 0.0000 4.8014 0.0000 2.4007 2.4007 6.7165" Properties=species:S:1:pos:R:3 pbc="T T T"
Tc 0.0000 0.0000 0.0000
Ga 4.8014 4.8014 2.4610
Ga 2.4007 2.4007 4.2554
Ga 2.4007 0.0000 0.0000
Ga 0.0000 2.4007 0.0000
Li 2.4007 2.4007 1.5561
Li 4.8014 4.8014 5.1604
```


Quick one: least stable of them? (two)


(one)
LiGa4Tc: relaxed, PBE-GGA.

Cell and atoms, written as extended XYZ:
```
6
Lattice="3.3315 0.0000 0.0000 0.0000 3.3347 -0.0003 0.0000 0.0008 8.3832" Properties=species:S:1:pos:R:3 pbc="T T T"
Ga 0.0000 1.6679 5.4965
Li 0.0000 1.6674 -0.0002
Ga 1.6658 3.3348 1.4433
Ga 0.0000 1.6676 2.8864
Ga 1.6658 0.0007 6.9396
Tc 1.6658 0.0004 4.1916
```


(two)
LiGa4Tc: relaxed, PBE-GGA.

Cell and atoms, written as extended XYZ:
```
12
Lattice="6.1715 0.0000 -0.1306 0.0000 6.1820 0.0000 -2.9745 -3.0910 5.7156" Properties=species:S:1:pos:R:3 pbc="T T T"
Ga 0.0298 0.0026 1.4525
Ga 3.1672 3.0884 4.1326
Li 1.5429 1.5441 -0.0326
Ga 0.0298 3.0884 1.4507
Tc 1.5985 -1.5455 2.7925
Ga 3.1673 0.0026 4.1343
Ga 0.0815 -0.0026 4.1996
Ga 3.1155 -0.0026 1.3872
Tc -1.4872 1.5455 2.8578
Li 4.6286 4.6380 -0.0979
Ga 3.1155 3.0936 1.3855
Ga 0.0815 3.0936 4.1978
```


Quick one: least stable of them? (two)


(one)
Li2GaTe: relaxed, PBE-GGA.

Cell and atoms, written as extended XYZ:
```
4
Lattice="0.0000 3.4634 3.4634 3.4634 0.0000 3.4634 3.4634 3.4634 0.0000" Properties=species:S:1:pos:R:3 pbc="T T T"
Li 5.1951 5.1951 5.1951
Ga 0.0000 0.0000 0.0000
Li 1.7317 1.7317 1.7317
Te 3.4634 3.4634 3.4634
```


(two)
Li2GaTe: relaxed, PBE-GGA.

Cell and atoms, written as extended XYZ:
```
4
Lattice="4.0546 0.0000 0.0000 0.0000 4.4876 0.0000 0.0000 0.0000 4.4876" Properties=species:S:1:pos:R:3 pbc="T T T"
Te 2.0273 2.2438 2.2438
Li 0.0000 0.0000 2.2438
Ga 2.0273 0.0000 0.0000
Li 0.0000 2.2438 0.0000
```


(three)
Li2GaTe: relaxed, PBE-GGA.

Cell and atoms, written as extended XYZ:
```
8
Lattice="4.6182 0.0000 0.0000 0.0000 4.6182 0.0000 2.3091 2.3091 8.8961" Properties=species:S:1:pos:R:3 pbc="T T T"
Ga 2.3091 4.6182 4.4481
Ga 2.3091 2.3091 0.0000
Te 4.6182 2.3091 4.4481
Te 0.0000 0.0000 0.0000
Li 5.7728 5.8218 6.6721
Li 3.4637 3.4147 6.6721
Li 1.1056 3.4637 2.2240
Li 3.5127 1.1546 2.2240
```


Quick one: least stable of them? (three)


(one)
LiThGa: relaxed, PBE-GGA.

Cell and atoms, written as extended XYZ:
```
3
Lattice="-2.2532 -1.8110 1.6791 1.7420 -2.7766 -0.6571 3.3233 3.0511 4.4223" Properties=species:S:1:pos:R:3 pbc="T T T"
Li 1.9406 0.4790 3.1208
Th 0.4207 -2.1269 1.5986
Ga 2.3427 -1.6524 4.6894
```


(two)
LiThGa: relaxed, PBE-GGA.

Cell and atoms, written as extended XYZ:
```
3
Lattice="3.5137 0.0000 0.0000 0.0000 4.6802 0.0000 0.0000 -2.3401 4.0532" Properties=species:S:1:pos:R:3 pbc="T T T"
Li 0.5862 2.3401 1.3511
Ga 0.5853 0.0000 0.0000
Th 2.3423 0.0000 2.7021
```


(three)
LiThGa: relaxed, PBE-GGA.

Cell and atoms, written as extended XYZ:
```
9
Lattice="-1.2384 4.2349 1.1845 -2.2283 -2.4360 6.3795 6.7825 2.2153 -0.8290" Properties=species:S:1:pos:R:3 pbc="T T T"
Th 2.5758 -0.1248 3.1393
Li -2.3378 0.2386 5.5126
Li 0.4225 2.0670 1.8618
Th 2.9464 0.9624 -0.3601
Th -0.9680 -1.0582 2.7713
Ga 3.1597 2.7823 2.1661
Ga 0.1561 1.2319 4.5689
Li 4.6119 3.8261 -0.0471
Ga 0.0000 0.0000 0.0000
```


Quick one: least stable of them? (one)


(one)
Li2TiGa2: relaxed, PBE-GGA.

Cell and atoms, written as extended XYZ:
```
10
Lattice="7.3517 0.0000 0.0000 0.0000 7.3517 0.0000 0.0000 0.0000 2.8834" Properties=species:S:1:pos:R:3 pbc="T T T"
Ga 0.9875 2.6884 0.0000
Ga 2.6884 6.3642 0.0000
Li 4.8975 6.1300 1.4417
Li 1.2217 4.8975 1.4417
Ti 0.0000 0.0000 0.0000
Li 2.4542 1.2217 1.4417
Ti 3.6758 3.6758 0.0000
Ga 6.3642 4.6633 0.0000
Li 6.1300 2.4542 1.4417
Ga 4.6633 0.9875 0.0000
```


(two)
Li2TiGa2: relaxed, PBE-GGA.

Cell and atoms, written as extended XYZ:
```
10
Lattice="7.3903 0.0000 0.0000 0.0000 7.3903 0.0000 0.0000 0.0000 2.6864" Properties=species:S:1:pos:R:3 pbc="T T T"
Li 4.5484 0.8533 0.0000
Ti 0.0000 0.0000 0.0000
Ga 1.3569 5.0520 1.3432
Ga 5.0520 6.0334 1.3432
Li 0.8533 2.8419 0.0000
Li 2.8419 6.5370 0.0000
Ga 6.0334 2.3383 1.3432
Ga 2.3383 1.3569 1.3432
Li 6.5370 4.5484 0.0000
Ti 3.6951 3.6951 0.0000
```


Quick one: least stable of them? (one)